(1)
Computed, not measured: Ac2V2N5 after structural relaxation at the PBE-GGA level of DFT.

Summary:
spin magnetization: 0.085 μB per atom
raw formation energy: -1139 meV per atom

```
Ac2V2N5
1.0
5.5723 0.0000 -2.0049
-0.7079 5.3110 -1.9675
-0.0093 0.1622 8.7203
Ac V N
4 4 10
direct
0.3860 0.8985 0.7651
0.6140 0.1334 0.2349
0.1208 0.6334 0.2349
0.8792 0.3985 0.7651
0.0000 0.0351 0.0000
0.5000 0.5351 0.0000
0.8085 0.7621 0.5000
0.1915 0.2621 0.5000
0.7520 0.7500 0.0198
0.2156 0.1514 0.2870
0.4286 0.3644 0.7130
0.7678 0.2500 0.0198
0.5714 0.6514 0.2870
0.2480 0.7301 0.9802
0.9996 0.5109 0.5000
0.2322 0.2301 0.9802
0.0004 0.0109 0.5000
0.7844 0.8644 0.7130
```

=====

(2)
Computed, not measured: AcVN2 after structural relaxation at the PBE-GGA level of DFT.

Summary:
spin magnetization: 0.000 μB per atom
raw formation energy: -1131 meV per atom

```
AcVN2
1.0
-5.6347 0.3338 0.9099
1.9780 -1.7984 -5.0540
-0.0122 -6.4092 2.2759
N Ac V
6 3 3
direct
0.4698 0.1515 0.6486
0.5302 0.6817 0.6847
0.6817 0.5302 0.3153
0.1515 0.4698 0.3514
0.8485 0.3183 0.9819
0.3183 0.8485 0.0181
0.6597 0.0000 0.3333
0.3403 0.3403 0.0000
0.0000 0.6597 0.6667
0.0000 0.5981 0.1667
0.5981 0.0000 0.8333
0.4019 0.4019 0.5000
```

=====

(3)
Computed, not measured: AcVN3 after structural relaxation at the PBE-GGA level of DFT.

Summary:
spin magnetization: 0.000 μB per atom
raw formation energy: -895 meV per atom

```
AcVN3
1.0
4.1171 0.0000 0.0000
-2.0586 5.6080 -0.7395
0.0000 -1.3447 6.4295
V Ac N
2 2 6
direct
0.8337 0.6673 0.1203
0.1663 0.3327 0.8797
0.4034 0.8069 0.6773
0.5966 0.1931 0.3227
0.6605 0.3210 0.9505
0.3395 0.6790 0.0495
0.0094 0.0188 0.1068
0.9906 0.9812 0.8932
0.8368 0.6736 0.3862
0.1632 0.3264 0.6138
```

=====

(4)
Computed, not measured: Ac2V2N5 after structural relaxation at the PBE-GGA level of DFT.

Summary:
spin magnetization: 0.000 μB per atom
raw formation energy: -1089 meV per atom

```
Ac2V2N5
1.0
4.0573 0.0000 0.0000
-2.0286 5.5358 -0.4883
0.0000 -1.3738 5.9723
N V Ac
5 2 2
direct
0.6613 0.3225 0.9474
0.1532 0.3065 0.6060
0.8468 0.6935 0.3940
0.0000 0.0000 0.0000
0.3387 0.6775 0.0526
0.1630 0.3259 0.8964
0.8370 0.6741 0.1036
0.5926 0.1852 0.3076
0.4074 0.8148 0.6924
```

=====

(5)
Computed, not measured: Ac3V2N6 after structural relaxation at the PBE-GGA level of DFT.

Summary:
spin magnetization: 0.000 μB per atom
raw formation energy: -1201 meV per atom

```
Ac3V2N6
1.0
3.9116 0.0000 -0.7678
-0.1507 3.9087 -0.7678
0.0895 0.0930 10.8045
V N Ac
2 6 3
direct
0.6033 0.6033 0.2066
0.3967 0.3967 0.7934
0.0879 0.5879 0.1758
0.6903 0.6903 0.3806
0.4121 0.9121 0.8242
0.9121 0.4121 0.8242
0.5879 0.0879 0.1758
0.3097 0.3097 0.6194
0.8228 0.8228 0.6456
0.1772 0.1772 0.3544
0.0000 0.0000 0.0000
```

=====

(6)
Computed, not measured: Ac3VN6 after structural relaxation at the PBE-GGA level of DFT.

Summary:
spin magnetization: 0.402 μB per atom
raw formation energy: -595 meV per atom

```
Ac3VN6
1.0
-4.7496 2.2752 2.4888
-1.7933 -7.2149 3.1732
4.6169 3.4155 5.6884
N Ac V
12 6 2
direct
0.1585 0.1168 0.6033
0.6966 0.2102 0.7898
0.6179 0.9378 0.0622
0.1179 0.0622 0.9378
0.7196 0.6492 0.6674
0.1585 0.3967 0.8832
0.6585 0.8832 0.3967
0.2196 0.6674 0.6492
0.1966 0.7898 0.2102
0.6585 0.6033 0.1168
0.2196 0.3508 0.3326
0.7196 0.3326 0.3508
0.4768 0.3025 0.0796
0.9459 0.6111 0.3889
0.9768 0.0796 0.3025
0.9768 0.6975 0.9204
0.4768 0.9204 0.6975
0.4459 0.3889 0.6111
0.0151 0.1958 0.8042
0.5151 0.8042 0.1958
```

=====

(7)
Computed, not measured: Ac3V5N12 after structural relaxation at the PBE-GGA level of DFT.

Summary:
spin magnetization: 0.000 μB per atom
raw formation energy: -751 meV per atom

```
Ac3V5N12
1.0
11.2172 0.0000 0.0000
-3.7391 10.5757 0.0000
-3.7391 -5.2879 9.1588
N V Ac
48 20 12
direct
0.0774 0.1838 0.1855
0.8936 0.0774 0.8919
0.1081 0.4226 0.1064
0.8162 0.8936 0.0016
0.3919 0.9984 0.8145
0.1064 0.1838 0.4984
0.3145 0.8919 0.9984
0.6081 0.0016 0.1855
0.6855 0.5774 0.1838
0.0774 0.8936 0.3919
0.6064 0.9984 0.6838
0.6081 0.6064 0.9226
0.0016 0.3936 0.8162
0.3162 0.8145 0.4226
0.1838 0.0774 0.6855
0.4984 0.6838 0.1064
0.8936 0.8162 0.5016
0.4226 0.1081 0.6064
0.3162 0.5016 0.3936
0.8162 0.9226 0.3145
0.6855 0.1081 0.0016
0.9226 0.1064 0.6081
0.4226 0.3145 0.3162
0.8145 0.3162 0.9226
0.5016 0.3162 0.8936
0.9984 0.3919 0.3145
0.1838 0.1064 0.9984
0.5016 0.1855 0.1081
0.6838 0.4984 0.6064
0.6838 0.1855 0.5774
0.1081 0.6855 0.5016
0.3936 0.0016 0.3162
0.0016 0.6081 0.6855
0.6064 0.6081 0.4226
0.3145 0.4226 0.8162
0.3936 0.3919 0.5774
0.9984 0.6064 0.1838
0.8919 0.3145 0.4984
0.5774 0.6855 0.6838
0.3919 0.3936 0.0774
0.1855 0.5016 0.6081
0.4984 0.8145 0.8919
0.5774 0.8919 0.3936
0.8919 0.5774 0.8936
0.1855 0.6838 0.0774
0.8145 0.4984 0.3919
0.1064 0.9226 0.1081
0.9226 0.8162 0.8145
0.2500 0.8750 0.1250
0.3750 0.2500 0.1250
0.1250 0.7500 0.3750
0.1250 0.3750 0.2500
0.5000 0.5000 0.0000
0.5000 0.0000 0.5000
0.0000 0.0000 0.0000
0.7500 0.6250 0.3750
0.6250 0.8750 0.2500
0.0000 0.5000 0.0000
0.0000 0.5000 0.5000
0.6250 0.7500 0.8750
0.5000 0.0000 0.0000
0.5000 0.5000 0.5000
0.8750 0.2500 0.6250
0.8750 0.6250 0.7500
0.7500 0.1250 0.8750
0.0000 0.0000 0.5000
0.2500 0.3750 0.6250
0.3750 0.1250 0.7500
0.1250 0.2500 0.8750
0.3750 0.6250 0.2500
0.6250 0.3750 0.7500
0.7500 0.8750 0.6250
0.6250 0.2500 0.3750
0.7500 0.3750 0.1250
0.2500 0.1250 0.3750
0.8750 0.7500 0.1250
0.2500 0.6250 0.8750
0.3750 0.7500 0.6250
0.8750 0.1250 0.2500
0.1250 0.8750 0.7500
```

=====

(8)
Computed, not measured: AcVN2 after structural relaxation at the PBE-GGA level of DFT.

Summary:
spin magnetization: 0.140 μB per atom
raw formation energy: -94 meV per atom

```
AcVN2
1.0
-2.7714 1.2328 1.2027
-2.6505 0.2054 -1.8919
-3.6711 -5.6125 1.7200
N Ac V
2 1 1
direct
0.1202 0.1202 0.6394
0.8798 0.8798 0.3606
0.0000 0.0000 0.0000
0.5000 0.5000 0.5000
```

=====

(9)
Computed, not measured: AcVN3 after structural relaxation at the PBE-GGA level of DFT.

Summary:
spin magnetization: 0.123 μB per atom
raw formation energy: -823 meV per atom

```
AcVN3
1.0
3.9688 0.0000 0.0000
0.0000 3.9688 0.0000
0.0000 0.0000 3.9688
N V Ac
3 1 1
direct
0.0000 0.0000 0.5000
0.0000 0.5000 0.0000
0.5000 0.0000 0.0000
0.0000 0.0000 0.0000
0.5000 0.5000 0.5000
```

=====

(10)
Computed, not measured: Ac3WN5 after structural relaxation at the PBE-GGA level of DFT.

Summary:
spin magnetization: 0.000 μB per atom
raw formation energy: -1138 meV per atom

```
Ac3WN5
1.0
6.3359 0.0000 -3.4858
-1.9178 6.0387 -3.4858
0.2118 0.2895 7.8861
N W Ac
10 2 6
direct
0.5090 0.3009 0.3098
0.9910 0.4910 0.6902
0.1991 0.9910 0.6902
0.0000 0.0000 0.0000
0.3009 0.8009 0.3098
0.8009 0.0090 0.3098
0.0090 0.5090 0.3098
0.6991 0.1991 0.6902
0.4910 0.6991 0.6902
0.5000 0.5000 0.0000
0.7500 0.2500 0.5000
0.2500 0.7500 0.5000
0.2500 0.2500 0.5000
0.8199 0.6801 0.0000
0.6801 0.1801 0.0000
0.1801 0.3199 0.0000
0.7500 0.7500 0.5000
0.3199 0.8199 0.0000
```

=====

(11)
Computed, not measured: Ac4W3N10 after structural relaxation at the PBE-GGA level of DFT.

Summary:
spin magnetization: 0.000 μB per atom
raw formation energy: -993 meV per atom

```
Ac4W3N10
1.0
4.0268 0.0000 -0.5468
-0.0742 4.0261 -0.5468
-0.0107 -0.0109 15.0223
N Ac W
10 4 3
direct
0.9311 0.9311 0.8622
0.1382 0.6382 0.2763
0.2087 0.2087 0.4174
0.3618 0.8618 0.7237
0.0689 0.0689 0.1378
0.6382 0.1382 0.2763
0.7913 0.7913 0.5826
0.8618 0.3618 0.7237
0.0000 0.5000 0.0000
0.5000 0.0000 0.0000
0.2989 0.2989 0.5978
0.7011 0.7011 0.4022
0.4322 0.4322 0.8644
0.5678 0.5678 0.1356
0.1396 0.1396 0.2793
0.0000 0.0000 0.0000
0.8604 0.8604 0.7207
```

=====

(12)
Computed, not measured: Ac3W2N7 after structural relaxation at the PBE-GGA level of DFT.

Summary:
spin magnetization: 0.000 μB per atom
raw formation energy: -1010 meV per atom

```
Ac3W2N7
1.0
-2.0077 3.5025 0.4332
-3.5275 -1.9760 -0.3717
2.4785 -2.2376 10.5505
N W Ac
7 2 3
direct
0.4044 0.9044 0.8088
0.8070 0.8070 0.6139
0.5956 0.0956 0.1912
0.9044 0.4044 0.8088
0.0000 0.0000 0.0000
0.0956 0.5956 0.1912
0.1930 0.1930 0.3861
0.0970 0.0970 0.1941
0.9030 0.9030 0.8059
0.3170 0.3170 0.6340
0.6830 0.6830 0.3660
0.5000 0.5000 0.0000
```

=====

Q: spin magnetization of number 8 (AcVN2)?
A: 0.140 μB per atom

=====

Q: raw formation energy of number 12 (Ac3W2N7)?
A: -1010 meV per atom

=====

Q: Which value of raw formation energy does entry 6 give?
A: -595 meV per atom